No. 1
A plane-wave DFT calculation with PBE was carried out for a geometry-optimized LaVRe2 structure.

The structure in extended XYZ format:
```
4
Lattice="0.000 3.278 3.278 3.278 0.000 3.278 3.278 3.278 0.000" Properties=species:S:1:pos:R:3 pbc="T T T"
La 0.000 0.000 0.000
V 3.278 3.278 3.278
Re 1.639 1.639 1.639
Re 4.917 4.917 4.917
```

- Energy: -9.20 eV/atom
- DFT formation energy: 2.2 eV per formula unit

---

No. 2
A plane-wave DFT calculation with PBE was carried out for a geometry-optimized BaLa2ZrCl structure.

The structure in extended XYZ format:
```
5
Lattice="6.163 0.000 0.000 0.000 6.163 0.000 0.000 0.000 5.252" Properties=species:S:1:pos:R:3 pbc="T T T"
Ba 0.000 0.000 0.000
La 0.000 3.081 0.000
La 3.081 0.000 0.000
Zr 0.000 0.000 2.626
Cl 3.081 3.081 2.626
```

- Energy: -3.52 eV/atom
- ΔE_f (raw): 0.9142 eV per atom

---

No. 3
A plane-wave DFT calculation with PBE was carried out for a geometry-optimized CoAs2CSe structure.

The structure in extended XYZ format:
```
5
Lattice="4.380 0.000 0.000 0.000 4.380 0.000 0.000 0.000 4.913" Properties=species:S:1:pos:R:3 pbc="T T T"
Co 0.000 0.000 0.000
As 0.000 2.190 0.000
As 2.190 0.000 0.000
C 2.190 2.190 2.457
Se 0.000 0.000 2.457
```

- Energy: -4.25 eV/atom
- ΔE_f (raw): 1.5730 eV per atom

---

No. 4
A plane-wave DFT calculation with PBE was carried out for a geometry-optimized Cs2Sc3Br8 structure.

The structure in extended XYZ format:
```
13
Lattice="8.860 -3.892 0.000 8.860 3.892 0.000 -1.705 0.000 6.803" Properties=species:S:1:pos:R:3 pbc="T T T"
Cs 3.935 0.000 1.282
Cs 12.080 0.000 5.521
Sc 8.008 1.719 3.401
Sc 8.860 0.000 0.000
Sc 8.008 -1.719 3.401
Br 0.870 0.000 2.897
Br 7.042 1.876 0.817
Br 8.973 1.876 5.986
Br 5.979 0.000 4.242
Br 10.036 0.000 2.560
Br 7.042 -1.876 0.817
Br 8.973 -1.876 5.986
Br 15.145 0.000 3.905
```

- Energy: -4.19 eV/atom
- ΔE_f (raw): -1.5700 eV per atom

---

No. 5
A plane-wave DFT calculation with PBE was carried out for a geometry-optimized BaScI3 structure.

The structure in extended XYZ format:
```
5
Lattice="6.679 0.000 0.000 0.000 6.679 0.000 0.000 0.000 6.679" Properties=species:S:1:pos:R:3 pbc="T T T"
Ba 0.000 0.000 0.000
Sc 3.339 3.339 3.339
I 0.000 0.000 3.339
I 0.000 3.339 0.000
I 3.339 0.000 0.000
```

- Energy: -3.08 eV/atom
- ΔE_f (raw): -0.5010 eV per atom

---

No. 6
A plane-wave DFT calculation with PBE was carried out for a geometry-optimized KNdAg structure.

The structure in extended XYZ format:
```
6
Lattice="2.790 -2.789 0.000 2.790 2.789 0.000 -0.022 0.000 14.422" Properties=species:S:1:pos:R:3 pbc="T T T"
K 1.379 0.000 2.105
K 4.179 0.000 12.317
Nd 1.384 0.000 6.042
Nd 4.174 0.000 8.381
Ag 1.385 0.000 9.860
Ag 4.173 0.000 4.562
```

- Energy: -2.96 eV/atom
- DFT formation energy: -0.2 eV per formula unit

---

- energy of number 3 (CoAs2CSe)?
  -4.25 eV/atom